Here is an optimized crystal structure of Ta2CdTcSn from Alexandria via LeMat-Bulk. Energies are from GGA-PBE.

The structure in POSCAR format:
```
Ta2CdTcSn
1.0
-2.365 -2.778 -3.536
-2.933 -2.076 3.592
-3.310 3.605 -0.619
Tc Cd Sn Ta
1 1 1 2
Direct
0.500 0.500 0.500 Tc
0.000 0.000 0.500 Cd
0.000 0.000 0.000 Sn
0.000 0.500 0.000 Ta
0.500 0.000 0.000 Ta
```

## Properties
total DFT energy (no corrections) = -5.66 eV/atom
formation energy = 2.1347 eV per atom



Here is an optimized crystal structure of LiNiCl from Alexandria via LeMat-Bulk. Energies are from GGA-PBE.

The structure in POSCAR format:
```
LiNiCl
1.0
0.004 0.263 -3.817
-1.307 -3.170 1.697
-3.149 1.346 0.090
Ni Li Cl
1 1 1
Direct
0.333 0.667 0.000 Ni
0.667 0.333 0.500 Li
0.000 0.000 0.000 Cl
```

## Properties
total DFT energy (no corrections) = -3.50 eV/atom
formation energy from raw total energies = -91 kJ/mol of formula units



Here is an optimized crystal structure of ScGaCu2 from Alexandria via LeMat-Bulk. Energies are from GGA-PBE.

The structure in POSCAR format:
```
ScGaCu2
1.0
3.988 0.000 0.000
0.000 3.988 0.000
1.994 1.994 8.686
Sc Cu Ga
2 4 2
Direct
0.500 0.500 0.000 Sc
0.250 0.750 0.500 Sc
0.688 0.125 0.250 Cu
0.062 0.625 0.250 Cu
0.375 0.312 0.750 Cu
0.875 0.938 0.750 Cu
0.000 0.000 0.000 Ga
0.750 0.250 0.500 Ga
```

## Properties
total DFT energy (no corrections) = -4.38 eV/atom
formation energy = 0.0082 eV per atom



Here is an optimized crystal structure of Rb2NaIrCl6 from Alexandria via LeMat-Bulk. Energies are from GGA-PBE.

The structure in POSCAR format:
```
Rb2NaIrCl6
1.0
-1.341 -4.971 -5.146
6.663 -2.777 0.946
-3.690 -6.415 7.158
Rb Na Ir Cl
4 2 2 12
Direct
0.500 0.750 0.250 Rb
0.000 0.250 0.750 Rb
0.500 0.750 0.750 Rb
0.000 0.250 0.250 Rb
0.000 0.750 0.500 Na
0.500 0.250 0.000 Na
0.500 0.250 0.500 Ir
0.000 0.750 0.000 Ir
0.500 0.250 0.270 Cl
0.500 0.250 0.730 Cl
0.000 0.750 0.230 Cl
0.000 0.750 0.770 Cl
0.269 0.020 0.500 Cl
0.731 0.020 0.500 Cl
0.270 0.481 0.500 Cl
0.730 0.481 0.500 Cl
0.770 0.519 0.000 Cl
0.230 0.519 0.000 Cl
0.231 0.980 0.000 Cl
0.769 0.980 0.000 Cl
```

## Properties
total DFT energy (no corrections) = -3.66 eV/atom
formation energy from raw total energies = -1294 kJ/mol of formula units



Here is an optimized crystal structure of CeTmZnCo from Alexandria via LeMat-Bulk. Energies are from GGA-PBE.

The structure in POSCAR format:
```
CeTmZnCo
1.0
-3.360 1.295 3.286
-1.206 -3.068 3.592
1.327 0.977 4.589
Zn Tm Co Ce
1 1 1 1
Direct
0.000 0.000 0.000 Zn
0.250 0.250 0.250 Tm
0.500 0.500 0.500 Co
0.750 0.750 0.750 Ce
```

## Properties
total DFT energy (no corrections) = -4.87 eV/atom
formation energy = -0.1743 eV per atom



Here is an optimized crystal structure of NaLiInO2 from Alexandria via LeMat-Bulk. Energies are from GGA-PBE.

The structure in POSCAR format:
```
NaLiInO2
1.0
-4.556 -3.481 -0.803
3.850 -5.036 -0.008
-2.598 1.994 6.094
Na Li In O
2 2 2 4
Direct
0.729 0.750 0.500 Na
0.271 0.250 0.500 Na
0.000 0.000 0.000 Li
0.000 0.500 0.000 Li
0.500 0.750 0.000 In
0.500 0.250 0.000 In
0.715 0.932 0.865 O
0.715 0.568 0.135 O
0.285 0.432 0.865 O
0.285 0.068 0.135 O
```

## Properties
total DFT energy (no corrections) = -4.43 eV/atom
formation energy from raw total energies = -605 kJ/mol of formula units



Here is an optimized crystal structure of KHo2Ni from Alexandria via LeMat-Bulk. Energies are from GGA-PBE.

The structure in POSCAR format:
```
KHo2Ni
1.0
-0.649 0.937 3.813
-2.902 -1.816 2.029
5.829 -8.038 5.045
Ni K Ho
1 1 2
Direct
0.500 0.500 0.500 Ni
0.000 0.000 0.000 K
0.125 0.125 0.626 Ho
0.875 0.875 0.374 Ho
```

## Properties
total DFT energy (no corrections) = -4.01 eV/atom
formation energy = -0.0014 eV per atom



Here is an optimized crystal structure of CoTe3Pd from Alexandria via LeMat-Bulk. Energies are from GGA-PBE.

The structure in POSCAR format:
```
CoTe3Pd
1.0
-3.808 -0.121 -0.156
1.875 -4.415 4.978
-0.471 6.805 6.212
Co Te Pd
2 6 2
Direct
0.513 0.028 0.992 Co
0.513 0.028 0.508 Co
0.896 0.798 0.587 Te
0.150 0.298 0.448 Te
0.150 0.298 0.052 Te
0.896 0.798 0.913 Te
0.414 0.830 0.250 Te
0.606 0.209 0.750 Te
0.615 0.229 0.250 Pd
0.246 0.485 0.750 Pd
```

## Properties
total DFT energy (no corrections) = -4.47 eV/atom
formation energy from raw total energies = -61 kJ/mol of formula units



no.,mass density (g/cm³)
1,9.013
2,3.865
3,5.812
4,3.645
5,8.782
6,2.601
7,4.750
8,7.798